No. 1
Below is a relaxed structure of ZrCoTc2Pb, with properties calculated at the PBE level.

Its crystal system is tetragonal. Its formation energy is 7.695 eV/f.u.

Geometry as extended XYZ:
```
5
Lattice="4.882 0.000 0.000 0.000 4.882 0.000 0.000 0.000 4.660" Properties=species:S:1:pos:R:3 pbc="T T T"
Zr 0.000 0.000 0.000
Co 0.000 0.000 2.330
Tc 0.000 2.441 0.000
Tc 2.441 0.000 0.000
Pb 2.441 2.441 2.330
```



No. 2
Below is a relaxed structure of CoTe2Pb, with properties calculated at the PBE level.

Its crystal system is monoclinic. The value obtained for the raw formation energy is -1 meV/atom.

Geometry as extended XYZ:
```
8
Lattice="11.564 0.000 0.000 0.000 3.752 0.000 -2.316 0.000 4.939" Properties=species:S:1:pos:R:3 pbc="T T T"
Co 0.000 0.000 0.000
Co 5.782 1.876 0.000
Te 0.247 1.876 1.661
Te 3.365 0.000 3.307
Te 6.029 0.000 1.661
Te 9.147 1.876 3.307
Pb 2.779 0.000 0.108
Pb 8.561 1.876 0.108
```



No. 3
Below is a relaxed structure of CoTe2Pb, with properties calculated at the PBE level.

Its crystal system is tetragonal. The value obtained for the raw formation energy is 396 meV/atom.

Geometry as extended XYZ:
```
8
Lattice="6.098 0.000 0.000 0.000 6.098 0.000 0.000 0.000 5.934" Properties=species:S:1:pos:R:3 pbc="T T T"
Co 0.000 0.000 0.000
Co 3.049 3.049 2.967
Te 0.000 3.049 0.000
Te 0.000 3.049 2.967
Te 3.049 0.000 0.000
Te 3.049 0.000 2.967
Pb 0.000 0.000 2.967
Pb 3.049 3.049 0.000
```



No. 4
Below is a relaxed structure of CoTe2Pb, with properties calculated at the PBE level.

Its crystal system is cubic. The value obtained for the raw formation energy is 645 meV/atom.

Geometry as extended XYZ:
```
16
Lattice="7.397 0.000 0.000 0.000 7.397 0.000 0.000 0.000 7.397" Properties=species:S:1:pos:R:3 pbc="T T T"
Co 0.000 0.000 0.000
Co 0.000 3.698 3.698
Co 3.698 0.000 3.698
Co 3.698 3.698 0.000
Te 0.000 0.000 3.698
Te 0.000 3.698 0.000
Te 1.849 1.849 5.547
Te 1.849 5.547 1.849
Te 3.698 0.000 0.000
Te 3.698 3.698 3.698
Te 5.547 1.849 1.849
Te 5.547 5.547 5.547
Pb 1.849 1.849 1.849
Pb 1.849 5.547 5.547
Pb 5.547 1.849 5.547
Pb 5.547 5.547 1.849
```



No. 5
Below is a relaxed structure of CoTePb3, with properties calculated at the PBE level.

Its crystal system is cubic. The value obtained for the raw formation energy is 22 meV/atom.

Geometry as extended XYZ:
```
5
Lattice="5.162 0.000 0.000 0.000 5.162 0.000 0.000 0.000 5.162" Properties=species:S:1:pos:R:3 pbc="T T T"
Co 0.000 0.000 0.000
Te 2.581 2.581 2.581
Pb 0.000 0.000 2.581
Pb 0.000 2.581 0.000
Pb 2.581 0.000 0.000
```



No. 6
Below is a relaxed structure of CoTe2Pb2, with properties calculated at the PBE level.

Its crystal system is tetragonal. The value obtained for the raw formation energy is 122 meV/atom.

Geometry as extended XYZ:
```
10
Lattice="6.665 0.000 0.000 0.000 6.665 0.000 0.000 0.000 6.516" Properties=species:S:1:pos:R:3 pbc="T T T"
Co 0.000 0.000 0.000
Co 3.332 3.332 0.000
Te 1.059 2.274 0.000
Te 2.274 5.606 0.000
Te 4.391 1.059 0.000
Te 5.606 4.391 0.000
Pb 1.259 2.073 3.258
Pb 2.073 5.406 3.258
Pb 4.592 1.259 3.258
Pb 5.406 4.592 3.258
```



No. 7
Below is a relaxed structure of CoTe2Pb, with properties calculated at the PBE level.

Its crystal system is tetragonal. The value obtained for the raw formation energy is 16 meV/atom.

Geometry as extended XYZ:
```
16
Lattice="6.587 0.000 0.000 0.000 6.587 0.000 0.000 0.000 11.665" Properties=species:S:1:pos:R:3 pbc="T T T"
Co 0.000 0.000 0.000
Co 0.000 3.293 2.916
Co 3.293 0.000 8.749
Co 3.293 3.293 5.833
Te 1.086 1.647 1.458
Te 1.647 4.379 4.374
Te 1.647 5.501 10.207
Te 2.208 1.647 7.291
Te 4.379 4.940 7.291
Te 4.940 1.086 10.207
Te 4.940 2.208 4.374
Te 5.501 4.940 1.458
Pb 0.000 0.000 5.833
Pb 0.000 3.293 8.749
Pb 3.293 0.000 2.916
Pb 3.293 3.293 0.000
```



No. 8
Below is a relaxed structure of CoTe2Pb, with properties calculated at the PBE level.

Its crystal system is tetragonal. The value obtained for the raw formation energy is 524 meV/atom.

Geometry as extended XYZ:
```
8
Lattice="4.368 0.000 0.000 0.000 4.368 0.000 0.000 0.000 11.232" Properties=species:S:1:pos:R:3 pbc="T T T"
Co 0.000 0.000 0.000
Co 2.184 2.184 5.616
Te 0.000 0.000 5.616
Te 0.000 2.184 8.424
Te 2.184 0.000 2.808
Te 2.184 2.184 0.000
Pb 0.000 2.184 2.808
Pb 2.184 0.000 8.424
```



Number 1: total moment 3.94 Bohr magnetons per cell. Number 2: total moment 0.00 Bohr magnetons per cell. Number 3: total moment 3.21 Bohr magnetons per cell. Number 4: total moment 7.33 Bohr magnetons per cell. Number 5: total moment 0.00 Bohr magnetons per cell. Number 6: total moment 2.30 Bohr magnetons per cell. Number 7: total moment 0.00 Bohr magnetons per cell. Number 8: total moment 4.55 Bohr magnetons per cell.